Here is Sm2RuAu after structural relaxation from Alexandria. Energies are from GGA-PBE.

Properties
For the formation energy, the calculation gives -481 meV/atom. As for the volume: 91.2 Å³/f.u. Its symmetry is Fmmm (69).

Cell lengths 5.0621, 5.0569, 5.0412 Å; angles 60.17, 60.07, 59.76 degrees
Last column: nearest neighbours and their distance in Å.
Positions (direct):
Sm 0.2500 0.2500 0.2500  4 Au 3.09, 4 Ru 3.09
Sm 0.7500 0.7500 0.7500  4 Ru 3.09, 4 Au 3.09
Ru 0.0000 0.0000 0.0000  8 Sm 3.09
Au 0.5000 0.5000 0.5000  8 Sm 3.09